A plane-wave DFT calculation with SCAN was carried out for a PBEsol-optimized structure of Re2TcAg.

Values from the calculation:
space group = P4/mmm (123)
formation enthalpy at 0 K = 531 meV per atom

a b c (Å): 3.8614 3.8614 3.9183
angles (deg): 90.00 90.00 90.00
Last column: nearest neighbours and their distance in Å.
Sites, in units of the cell vectors:
1 Re 0.0000 0.5000 0.0000  4 Re 2.73, 4 Tc 2.75, 4 Ag 2.75
2 Re 0.5000 0.0000 0.0000  4 Re 2.73, 4 Tc 2.75, 4 Ag 2.75
3 Tc 0.0000 0.0000 0.5000  4 Ag 2.73, 8 Re 2.75
4 Ag 0.5000 0.5000 0.5000  4 Tc 2.73, 8 Re 2.75